# 1
InSnTeAuS2: relaxed, PBE-GGA.

The structure in POSCAR format:
```
InSnTeAuS2
1.0
2.0471 -7.0884 0.0000
2.0471 7.0884 0.0000
0.0000 0.0000 11.1998
In Sn Te Au S
2 2 2 2 4
direct
0.2228 0.7772 0.7500
0.7772 0.2228 0.2500
0.5000 0.5000 0.0000
0.5000 0.5000 0.5000
0.4329 0.5671 0.2500
0.5671 0.4329 0.7500
0.1344 0.8656 0.2500
0.8656 0.1344 0.7500
0.1252 0.8748 0.0404
0.1252 0.8748 0.4596
0.8748 0.1252 0.5404
0.8748 0.1252 0.9596
```

Summary:
DFT total energy   -3.77 eV per atom
Symmetry   No. 63

=====

# 2
HoErGa2Pt4: relaxed, PBE-GGA.

The structure in POSCAR format:
```
HoErGa2Pt4
1.0
4.6774 0.0000 0.0000
0.0000 4.6774 0.0000
0.0000 0.0000 6.6212
Ho Er Ga Pt
1 1 2 4
direct
0.0000 0.0000 0.0000
0.5000 0.5000 0.5000
0.0000 0.0000 0.5000
0.5000 0.5000 0.0000
0.0000 0.5000 0.2508
0.0000 0.5000 0.7492
0.5000 0.0000 0.2508
0.5000 0.0000 0.7492
```

Summary:
DFT total energy   -5.84 eV per atom
Size of the total moment   0.0 μB per cell
Distance to the lowest polymorph of the same formula   162 meV per atom
Symmetry   No. 123

=====

# 3
FeSiNiW: relaxed, PBE-GGA.

The structure in POSCAR format:
```
FeSiNiW
1.0
0.0000 2.9000 2.9000
2.9000 0.0000 2.9000
2.9000 2.9000 0.0000
Fe Si Ni W
1 1 1 1
direct
0.0000 0.0000 0.0000
0.7500 0.7500 0.7500
0.5000 0.5000 0.5000
0.2500 0.2500 0.2500
```

Summary:
DFT total energy   -8.12 eV per atom
Size of the total moment   0.0 μB per cell
Distance to the lowest polymorph of the same formula   0 meV per atom
Symmetry   No. 216

=====

# 4
Cu3Ni: relaxed, PBE-GGA.

The structure in POSCAR format:
```
Cu3Ni
1.0
-1.7656 1.7656 3.6552
1.7656 -1.7656 3.6552
1.7656 1.7656 -3.6552
Cu Ni
3 1
direct
0.0000 0.0000 0.0000
0.2500 0.7500 0.5000
0.7500 0.2500 0.5000
0.5000 0.5000 0.0000
```

Summary:
DFT total energy   -4.16 eV per atom
Size of the total moment   0.0 μB per cell
Symmetry   No. 139

=====

# 5
TlCu15: relaxed, PBE-GGA.

The structure in POSCAR format:
```
TlCu15
1.0
7.0704 0.0000 0.0000
0.0000 2.6040 0.0000
-0.0065 0.0000 34.0800
Tl Cu
2 30
direct
0.1250 0.2500 0.1974
0.8750 0.7500 0.8026
0.1225 0.2500 0.6678
0.1249 0.2500 0.2930
0.1250 0.2500 0.3696
0.1250 0.2500 0.4443
0.1248 0.2500 0.5184
0.1247 0.2500 0.5929
0.1256 0.2500 0.7434
0.3725 0.7500 0.3321
0.3747 0.7500 0.4070
0.3748 0.7500 0.4814
0.3750 0.7500 0.5556
0.3750 0.7500 0.6302
0.3749 0.7500 0.7041
0.3750 0.7500 0.7780
0.3756 0.7500 0.2566
0.6244 0.2500 0.7434
0.6250 0.2500 0.2220
0.6251 0.2500 0.2959
0.6250 0.2500 0.3698
0.6250 0.2500 0.4444
0.6252 0.2500 0.5186
0.6253 0.2500 0.5930
0.6275 0.2500 0.6679
0.8744 0.7500 0.2566
0.8753 0.7500 0.4071
0.8752 0.7500 0.4816
0.8750 0.7500 0.5557
0.8750 0.7500 0.6304
0.8751 0.7500 0.7070
0.8775 0.7500 0.3322
```

Summary:
DFT total energy   -3.52 eV per atom
Distance to the lowest polymorph of the same formula   56 meV per atom
Symmetry   No. 11

=====

# 6
TbHoH2Cl4: relaxed, PBE-GGA.

The structure in POSCAR format:
```
TbHoH2Cl4
1.0
3.7395 0.0000 0.0000
-1.8697 3.2385 0.0000
0.0000 0.0000 13.3163
Tb Ho H Cl
1 1 2 4
direct
0.0000 0.0000 0.0000
0.0000 0.0000 0.5000
0.3333 0.6667 0.0000
0.6667 0.3333 0.5000
0.3333 0.6667 0.3695
0.3333 0.6667 0.6305
0.6667 0.3333 0.1323
0.6667 0.3333 0.8677
```

Summary:
DFT total energy   -4.69 eV per atom
Size of the total moment   0.0 μB per cell
Symmetry   No. 187

=====

# 7
TaCuSbPd: relaxed, PBE-GGA.

The structure in POSCAR format:
```
TaCuSbPd
1.0
0.0000 3.2513 3.2513
3.2513 0.0000 3.2513
3.2513 3.2513 0.0000
Ta Cu Sb Pd
1 1 1 1
direct
0.0000 0.0000 0.0000
0.5000 0.5000 0.5000
0.2500 0.2500 0.2500
0.7500 0.7500 0.7500
```

Summary:
DFT total energy   -6.13 eV per atom
Size of the total moment   0.1 μB per cell
Distance to the lowest polymorph of the same formula   0 meV per atom
Symmetry   No. 216

=====

# 8
MgBeSnPt: relaxed, PBE-GGA.

The structure in POSCAR format:
```
MgBeSnPt
1.0
0.0000 3.2133 3.2133
3.2133 0.0000 3.2133
3.2133 3.2133 0.0000
Mg Be Sn Pt
1 1 1 1
direct
0.0000 0.0000 0.0000
0.7500 0.7500 0.7500
0.5000 0.5000 0.5000
0.2500 0.2500 0.2500
```

Summary:
DFT total energy   -3.93 eV per atom
Size of the total moment   0.0 μB per cell
Distance to the lowest polymorph of the same formula   0 meV per atom
Symmetry   No. 216

=====

# 9
KAgTe2PdS: relaxed, PBE-GGA.

The structure in POSCAR format:
```
KAgTe2PdS
1.0
2.1361 -6.3764 0.0000
2.1361 6.3764 0.0000
0.0000 0.0000 11.5074
K Ag Te Pd S
2 2 4 2 2
direct
0.2365 0.7635 0.7500
0.7635 0.2365 0.2500
0.0549 0.9451 0.2500
0.9451 0.0549 0.7500
0.1320 0.8680 0.0240
0.1320 0.8680 0.4760
0.8680 0.1320 0.5240
0.8680 0.1320 0.9760
0.5000 0.5000 0.0000
0.5000 0.5000 0.5000
0.4583 0.5417 0.2500
0.5417 0.4583 0.7500
```

Summary:
DFT total energy   -3.55 eV per atom
Symmetry   No. 63

=====

# 10
Ag3H11: relaxed, PBE-GGA.

The structure in POSCAR format:
```
Ag3H11
1.0
4.9763 -2.1708 0.0000
4.9763 2.1708 0.0000
-2.2200 0.0000 5.9857
Ag H
3 11
direct
0.0000 0.0000 0.0000
0.3135 0.3135 0.8068
0.6468 0.6468 0.8589
0.0408 0.5740 0.4553
0.0514 0.5293 0.3332
0.1482 0.1482 0.8945
0.2993 0.7625 0.2216
0.4357 0.6126 0.5068
0.5282 0.5282 0.1908
0.5293 0.0514 0.3332
0.5740 0.0408 0.4553
0.6126 0.4357 0.5068
0.7625 0.2993 0.2216
0.8186 0.8186 0.7852
```

Summary:
DFT total energy   -2.94 eV per atom
Symmetry   No. 8

=====

# 11
Tm4HgC2S: relaxed, PBE-GGA.

The structure in POSCAR format:
```
Tm4HgC2S
1.0
3.6103 0.0000 0.0000
-1.8051 3.1266 0.0000
0.0000 0.0000 14.0256
Tm Hg C S
4 1 2 1
direct
0.0000 0.0000 0.1320
0.0000 0.0000 0.8680
0.6667 0.3333 0.3187
0.6667 0.3333 0.6813
0.0000 0.0000 0.5000
0.3333 0.6667 0.2274
0.3333 0.6667 0.7726
0.6667 0.3333 0.0000
```

Summary:
DFT total energy   -5.96 eV per atom
Size of the total moment   1.0 μB per cell
Symmetry   No. 187

=====

# 12
Er3Mg3Zn2Ir: relaxed, PBE-GGA.

The structure in POSCAR format:
```
Er3Mg3Zn2Ir
1.0
7.2830 0.0000 0.0000
-3.6415 6.3072 0.0000
0.0000 0.0000 4.2806
Er Mg Zn Ir
3 3 2 1
direct
0.0000 0.6017 0.0000
0.3983 0.3983 0.0000
0.6017 0.0000 0.0000
0.0000 0.2384 0.5000
0.2384 0.0000 0.5000
0.7616 0.7616 0.5000
0.3333 0.6667 0.5000
0.6667 0.3333 0.5000
0.0000 0.0000 0.0000
```

Summary:
DFT total energy   -3.68 eV per atom
Size of the total moment   0.0 μB per cell
Symmetry   No. 189

=====

# 13
ZnCoTcHg: relaxed, PBE-GGA.

The structure in POSCAR format:
```
ZnCoTcHg
1.0
0.0000 3.1247 3.1247
3.1247 0.0000 3.1247
3.1247 3.1247 0.0000
Zn Co Tc Hg
1 1 1 1
direct
0.0000 0.0000 0.0000
0.2500 0.2500 0.2500
0.7500 0.7500 0.7500
0.5000 0.5000 0.5000
```

Summary:
DFT total energy   -4.24 eV per atom
Size of the total moment   2.8 μB per cell
Distance to the lowest polymorph of the same formula   0 meV per atom
Symmetry   No. 216

=====

# 14
HoInHgTe3: relaxed, PBE-GGA.

The structure in POSCAR format:
```
HoInHgTe3
1.0
12.6867 0.0000 0.0000
0.0000 4.5279 0.0000
0.0000 0.0000 13.6001
Ho In Hg Te
4 4 4 12
direct
0.0240 0.2500 0.1949
0.4760 0.7500 0.6949
0.5240 0.2500 0.3051
0.9760 0.7500 0.8051
0.1785 0.2500 0.4928
0.3215 0.7500 0.9928
0.6785 0.2500 0.0072
0.8215 0.7500 0.5072
0.2469 0.7500 0.2999
0.2531 0.2500 0.7999
0.7469 0.7500 0.2001
0.7531 0.2500 0.7001
0.0279 0.7500 0.3552
0.0801 0.2500 0.9283
0.2391 0.7500 0.6651
0.2609 0.2500 0.1651
0.4199 0.7500 0.4283
0.4721 0.2500 0.8552
0.5279 0.7500 0.1448
0.5801 0.2500 0.5717
0.7391 0.7500 0.8349
0.7609 0.2500 0.3349
0.9199 0.7500 0.0717
0.9721 0.2500 0.6448
```

Summary:
DFT total energy   -3.44 eV per atom
Size of the total moment   0.0 μB per cell
Distance to the lowest polymorph of the same formula   81 meV per atom
Symmetry   No. 62

=====

# 15
Tl2AgSn: relaxed, PBE-GGA.

The structure in POSCAR format:
```
Tl2AgSn
1.0
0.0000 3.7422 3.7422
3.7422 0.0000 3.7422
3.7422 3.7422 0.0000
Tl Ag Sn
2 1 1
direct
0.0000 0.0000 0.0000
0.2500 0.2500 0.2500
0.7500 0.7500 0.7500
0.5000 0.5000 0.5000
```

Summary:
DFT total energy   -2.76 eV per atom
Symmetry   No. 216

=====

# 16
NaSbTeW: relaxed, PBE-GGA.

The structure in POSCAR format:
```
NaSbTeW
1.0
0.0000 3.4835 3.4835
3.4835 0.0000 3.4835
3.4835 3.4835 0.0000
Na Sb Te W
1 1 1 1
direct
0.0000 0.0000 0.0000
0.7500 0.7500 0.7500
0.2500 0.2500 0.2500
0.5000 0.5000 0.5000
```

Summary:
DFT total energy   -4.98 eV per atom
Size of the total moment   1.3 μB per cell
Distance to the lowest polymorph of the same formula   0 meV per atom
Symmetry   No. 216

=====

# 17
LiZrS2: relaxed, PBE-GGA.

The structure in POSCAR format:
```
LiZrS2
1.0
-2.8739 2.8739 5.5002
2.8739 -2.8739 5.5002
2.8739 2.8739 -5.5002
Li Zr S
2 2 4
direct
0.0000 0.0000 0.0000
0.7500 0.2500 0.5000
0.2500 0.7500 0.5000
0.5000 0.5000 0.0000
0.1172 0.1250 0.4922
0.3750 0.8828 0.0078
0.6328 0.6250 0.5078
0.8750 0.3672 0.9922
```

Summary:
DFT total energy   -5.89 eV per atom
Size of the total moment   1.4 μB per cell
Symmetry   No. 122

=====

# 18
DyLuCSe: relaxed, PBE-GGA.

The structure in POSCAR format:
```
DyLuCSe
1.0
3.7128 0.0000 0.0000
-1.8564 3.2153 0.0000
0.0000 0.0000 13.1090
Dy Lu C Se
2 2 2 2
direct
0.3333 0.6667 0.1022
0.6667 0.3333 0.8978
0.3333 0.6667 0.4031
0.6667 0.3333 0.5969
0.0000 0.0000 0.0000
0.0000 0.0000 0.5000
0.3333 0.6667 0.7446
0.6667 0.3333 0.2554
```

Summary:
DFT total energy   -6.63 eV per atom
Size of the total moment   0.0 μB per cell
Symmetry   No. 164

=====

# 19
LaAl2Pt2: relaxed, PBE-GGA.

The structure in POSCAR format:
```
LaAl2Pt2
1.0
-2.0941 2.0941 5.6839
2.0941 -2.0941 5.6839
2.0941 2.0941 -5.6839
La Al Pt
1 2 2
direct
0.0000 0.0000 0.0000
0.2500 0.7500 0.5000
0.7500 0.2500 0.5000
0.3776 0.3776 0.0000
0.6224 0.6224 0.0000
```

Summary:
DFT total energy   -6.04 eV per atom
Size of the total moment   0.0 μB per cell
Symmetry   No. 139

=====

# 20
MgCoNiTe3: relaxed, PBE-GGA.

The structure in POSCAR format:
```
MgCoNiTe3
1.0
1.8962 -6.3191 0.0000
1.8962 6.3191 0.0000
0.0000 0.0000 10.6732
Mg Co Ni Te
2 2 2 6
direct
0.2470 0.7530 0.7500
0.7530 0.2470 0.2500
0.1016 0.8984 0.2500
0.8984 0.1016 0.7500
0.5000 0.5000 0.0000
0.5000 0.5000 0.5000
0.1368 0.8632 0.0226
0.1368 0.8632 0.4774
0.4703 0.5297 0.2500
0.5297 0.4703 0.7500
0.8632 0.1368 0.5226
0.8632 0.1368 0.9774
```

Summary:
DFT total energy   -4.11 eV per atom
Size of the total moment   0.0 μB per cell
Distance to the lowest polymorph of the same formula   42 meV per atom
Symmetry   No. 63